# Be3Nb2Ir | Alexandria | PBE-GGA | optimized geometry
data_Be3Nb2Ir
_cell_length_a 5.5261
_cell_length_b 8.1160
_cell_length_c 14.0958
_cell_angle_alpha 90.00
_cell_angle_beta 90.00
_cell_angle_gamma 90.00
_symmetry_space_group_name_H-M 'F m m m'
_symmetry_Int_Tables_number 69
_symmetry_space_group_name_Hall '-F 2 2'
loop_
_atom_site_label
_atom_site_type_symbol
_atom_site_fract_x
_atom_site_fract_y
_atom_site_fract_z
_atom_site_occupancy
Be1 Be 0.0000 0.0000 0.1616 1
Be2 Be 0.0000 0.2437 0.0791 1
Nb1 Nb 0.2490 0.0000 0.5000 1
Nb2 Nb 0.2500 0.2500 0.2500 1
Ir1 Ir 0.0000 0.0000 0.3346 1
# crystal system	orthorhombic
# ΔE to the lowest computed polymorph	211	meV/atom
# size of the total moment	0.000	μB/atom